# 1
VASP calculation (PBE-GGA) on crystalline CdFe2BRh at its relaxed geometry.

Results
space-group type	P4/mmm, No. 123
energy	-27.05	eV/cell

POSCAR file:
```
CdFe2BRh
1.0
4.746 0.000 0.000
0.000 4.746 0.000
0.000 0.000 3.947
Cd Fe B Rh
1 2 1 1
Direct
0.000 0.000 0.000
0.000 0.500 0.500
0.500 0.000 0.500
0.500 0.500 0.000
0.500 0.500 0.500
```



# 2
VASP calculation (PBE-GGA) on crystalline Cd2FeBSe at its relaxed geometry.

Results
space-group type	P4/mmm, No. 123
formation energy (no corrections)	1.107	eV/atom

POSCAR file:
```
Cd2FeBSe
1.0
5.070 0.000 0.000
0.000 5.070 0.000
0.000 0.000 4.281
Cd Fe B Se
2 1 1 1
Direct
0.000 0.500 0.000
0.500 0.000 0.000
0.000 0.000 0.000
0.500 0.500 0.500
0.000 0.000 0.500
```



# 3
VASP calculation (PBE-GGA) on crystalline CdFeBW2 at its relaxed geometry.

Results
space-group type	P4/mmm, No. 123
energy	-27.69	eV/cell

POSCAR file:
```
CdFeBW2
1.0
4.994 0.000 0.000
0.000 4.994 0.000
0.000 0.000 3.818
Cd Fe B W
1 1 1 2
Direct
0.000 0.000 0.000
0.500 0.500 0.500
0.000 0.000 0.500
0.000 0.500 0.000
0.500 0.000 0.000
```



# 4
VASP calculation (PBE-GGA) on crystalline ZrCdFe2B at its relaxed geometry.

Results
space-group type	P4/mmm, No. 123
energy	-20.24	eV/cell

POSCAR file:
```
ZrCdFe2B
1.0
4.549 0.000 0.000
0.000 4.549 0.000
0.000 0.000 5.196
Zr Cd Fe B
1 1 2 1
Direct
0.000 0.000 0.000
0.000 0.000 0.500
0.000 0.500 0.500
0.500 0.000 0.500
0.500 0.500 0.000
```



# 5
VASP calculation (PBE-GGA) on crystalline CdGa2B at its relaxed geometry.

Results
energy relative to the lowest polymorph listed for this composition	0.000	eV per atom
space-group type	I-42d, No. 122

POSCAR file:
```
CdGa2B
1.0
-2.963 2.963 4.756
2.963 -2.963 4.756
2.963 2.963 -4.756
Cd Ga B
2 4 2
Direct
0.000 0.000 0.000
0.750 0.250 0.500
0.250 0.625 0.125
0.375 0.500 0.625
0.500 0.125 0.875
0.875 0.750 0.375
0.250 0.750 0.500
0.500 0.500 0.000
```



# 6
VASP calculation (PBE-GGA) on crystalline Cd3GaB at its relaxed geometry.

Results
energy relative to the lowest polymorph listed for this composition	0.697	eV per atom
space-group type	Pm-3m, No. 221

POSCAR file:
```
Cd3GaB
1.0
5.110 0.000 0.000
0.000 5.110 0.000
0.000 0.000 5.110
Cd Ga B
3 1 1
Direct
0.000 0.000 0.500
0.000 0.500 0.000
0.500 0.000 0.000
0.000 0.000 0.000
0.500 0.500 0.500
```



# 7
VASP calculation (PBE-GGA) on crystalline CdGaB3 at its relaxed geometry.

Results
energy relative to the lowest polymorph listed for this composition	0.420	eV per atom
space-group type	Pm-3m, No. 221

POSCAR file:
```
CdGaB3
1.0
4.422 0.000 0.000
0.000 4.422 0.000
0.000 0.000 4.422
Cd Ga B
1 1 3
Direct
0.000 0.000 0.000
0.500 0.500 0.500
0.000 0.000 0.500
0.000 0.500 0.000
0.500 0.000 0.000
```



# 8
VASP calculation (PBE-GGA) on crystalline CdGaB3 at its relaxed geometry.

Results
energy relative to the lowest polymorph listed for this composition	0.000	eV per atom
space-group type	Pm-3m, No. 221

POSCAR file:
```
CdGaB3
1.0
4.225 0.000 0.000
0.000 4.225 0.000
0.000 0.000 4.225
Cd Ga B
1 1 3
Direct
0.000 0.000 0.000
0.500 0.500 0.500
0.000 0.500 0.500
0.500 0.000 0.500
0.500 0.500 0.000
```